Compound: CdHg2Mo
Source: Alexandria
Functional: GGA-PBE
Structure: optimized geometry

Structure (POSCAR):
```
CdHg2Mo
1.0
-2.598 -2.621 3.296
0.156 -2.416 -1.799
4.552 -1.494 2.400
Cd Hg Mo
1 2 1
Direct
0.500 0.875 0.705 Cd
0.000 0.875 0.026 Hg
0.500 0.375 0.237 Hg
0.000 0.375 0.532 Mo
```

- Total DFT energy (no corrections): -0.1898 Ry per atom
- ΔE_f: 0.51 eV per atom